# NdYSc4, relaxed, DFT GGA-PBE
# - E_form (eV/atom) = 0.069
# - DFT total energy (eV per atom) = -6.024
# - E above lowest polymorph (meV per atom) = 0
data_NdYSc4
_chemical_formula_sum 'Nd2 Y2 Sc8'
_symmetry_space_group_name_H-M 'P 1'
_symmetry_Int_Tables_number 1
_symmetry_space_group_name_Hall 'P 1'
_cell_length_a 9.858
_cell_length_b 9.858
_cell_length_c 5.356
_cell_angle_alpha 90.00
_cell_angle_beta 90.00
_cell_angle_gamma 140.97
loop_
_atom_site_label
_atom_site_type_symbol
_atom_site_fract_x
_atom_site_fract_y
_atom_site_fract_z
Nd1 Nd 0.123 0.877 0.750
Nd2 Nd 0.877 0.123 0.250
Y1 Y 0.373 0.627 0.250
Y2 Y 0.627 0.373 0.750
Sc1 Sc 0.043 0.460 0.750
Sc2 Sc 0.212 0.296 0.750
Sc3 Sc 0.296 0.212 0.250
Sc4 Sc 0.460 0.043 0.250
Sc5 Sc 0.540 0.957 0.750
Sc6 Sc 0.704 0.788 0.750
Sc7 Sc 0.788 0.704 0.250
Sc8 Sc 0.957 0.540 0.250

---

# NdY4Sc4, relaxed, DFT GGA-PBE
# - E_form (eV/atom) = 0.062
# - DFT total energy (eV per atom) = -6.155
data_NdY4Sc4
_chemical_formula_sum 'Nd1 Y4 Sc4'
_symmetry_space_group_name_H-M 'P 1'
_symmetry_Int_Tables_number 1
_symmetry_space_group_name_Hall 'P 1'
_cell_length_a 7.721
_cell_length_b 7.721
_cell_length_c 7.721
_cell_angle_alpha 95.64
_cell_angle_beta 95.64
_cell_angle_gamma 143.47
loop_
_atom_site_label
_atom_site_type_symbol
_atom_site_fract_x
_atom_site_fract_y
_atom_site_fract_z
Nd1 Nd 0.000 0.000 0.000
Y1 Y 0.000 0.328 0.328
Y2 Y 0.000 0.672 0.672
Y3 Y 0.328 0.000 0.328
Y4 Y 0.672 0.000 0.672
Sc1 Sc 0.332 0.332 0.665
Sc2 Sc 0.332 0.668 0.000
Sc3 Sc 0.668 0.332 0.000
Sc4 Sc 0.668 0.668 0.335

---

# Nd12Y6Sc, relaxed, DFT GGA-PBE
# - E_form (eV/atom) = 0.135
# - DFT total energy (eV per atom) = -5.250
data_Nd12Y6Sc
_chemical_formula_sum 'Nd12 Y6 Sc1'
_symmetry_space_group_name_H-M 'P 1'
_symmetry_Int_Tables_number 1
_symmetry_space_group_name_Hall 'P 1'
_cell_length_a 8.681
_cell_length_b 8.681
_cell_length_c 8.681
_cell_angle_alpha 89.47
_cell_angle_beta 89.47
_cell_angle_gamma 89.47
loop_
_atom_site_label
_atom_site_type_symbol
_atom_site_fract_x
_atom_site_fract_y
_atom_site_fract_z
Nd1 Nd 0.035 0.936 0.282
Nd2 Nd 0.064 0.718 0.965
Nd3 Nd 0.140 0.480 0.311
Nd4 Nd 0.282 0.035 0.936
Nd5 Nd 0.311 0.140 0.480
Nd6 Nd 0.480 0.311 0.140
Nd7 Nd 0.520 0.689 0.860
Nd8 Nd 0.689 0.860 0.520
Nd9 Nd 0.718 0.965 0.064
Nd10 Nd 0.860 0.520 0.689
Nd11 Nd 0.936 0.282 0.035
Nd12 Nd 0.965 0.064 0.718
Y1 Y 0.209 0.760 0.599
Y2 Y 0.240 0.401 0.791
Y3 Y 0.401 0.791 0.240
Y4 Y 0.599 0.209 0.760
Y5 Y 0.760 0.599 0.209
Y6 Y 0.791 0.240 0.401
Sc1 Sc 0.500 0.500 0.500